[1]
AcPr3Er3: optimized geometry, GGA-PBE.

- Crystal system: trigonal
- Uncorrected energy: -31.257 eV per formula unit
- Energy of formation from the pure elements: 0.126 eV/atom
- Energy relative to the lowest polymorph listed for this composition: 82 meV/atom

Cell: 13.151 6.925 13.150 Å, 100.11 116.99 100.11°
Atoms (fractional coordinates):
Ac 0.815 0.986 0.000
Ac 0.000 0.589 0.000
Ac 0.000 0.986 0.815
Ac 0.185 0.171 0.185
Er 0.561 0.556 0.743
Er 0.257 0.813 0.818
Er 0.529 0.773 0.529
Er 0.734 0.214 0.734
Er 0.743 0.556 0.561
Er 0.266 0.481 0.000
Er 0.471 0.244 0.000
Er 0.000 0.480 0.266
Er 0.818 0.813 0.257
Er 0.181 0.995 0.439
Er 0.439 0.995 0.182
Er 0.000 0.244 0.471
Pr 0.462 0.222 0.462
Pr 0.538 0.760 0.000
Pr 0.726 0.449 0.000
Pr 0.263 0.290 0.737
Pr 0.737 0.027 0.474
Pr 0.474 0.027 0.737
Pr 0.263 0.553 0.526
Pr 0.526 0.553 0.263
Pr 0.274 0.723 0.274
Pr 0.000 0.449 0.726
Pr 0.737 0.290 0.263
Pr 0.000 0.760 0.538

---

[2]
Ac4Pr2Er3: optimized geometry, GGA-PBE.

- Crystal system: monoclinic
- Uncorrected energy: -39.207 eV per formula unit
- Energy of formation from the pure elements: 0.053 eV/atom

Cell: 6.465 6.465 11.254 Å, 74.29 74.29 49.34°
Atoms (fractional coordinates):
Er 0.664 0.664 0.450
Er 0.000 0.000 0.000
Er 0.336 0.336 0.550
Pr 0.671 0.671 0.772
Pr 0.329 0.329 0.228
Ac 0.334 0.334 0.888
Ac 0.994 0.994 0.335
Ac 0.666 0.666 0.112
Ac 0.006 0.006 0.665

---

[3]
Ac2Pr5Er12: optimized geometry, GGA-PBE.

- Crystal system: triclinic
- Uncorrected energy: -85.596 eV per formula unit
- Energy of formation from the pure elements: 0.067 eV/atom

Cell: 6.158 11.930 15.109 Å, 143.63 82.90 103.26°
Atoms (fractional coordinates):
Pr 0.000 0.000 0.500
Pr 0.177 0.374 0.348
Pr 0.544 0.252 0.802
Pr 0.823 0.626 0.652
Pr 0.456 0.748 0.198
Er 0.667 0.232 0.558
Er 0.013 0.949 0.238
Er 0.987 0.051 0.762
Er 0.248 0.406 0.596
Er 0.091 0.486 0.877
Er 0.648 0.685 0.927
Er 0.352 0.315 0.073
Er 0.333 0.768 0.442
Er 0.752 0.594 0.404
Er 0.587 0.152 0.291
Er 0.909 0.514 0.123
Er 0.413 0.848 0.709
Ac 0.211 0.883 0.967
Ac 0.789 0.117 0.033

---

[4]
Ac7Pr3Er: optimized geometry, GGA-PBE.

- Crystal system: monoclinic
- Uncorrected energy: -44.769 eV per formula unit
- Energy of formation from the pure elements: 0.263 eV/atom

Cell: 6.948 8.329 8.329 Å, 84.60 85.59 85.59°
Atoms (fractional coordinates):
Ac 0.000 0.500 0.500
Ac 0.740 0.917 0.578
Ac 0.260 0.083 0.422
Ac 0.740 0.578 0.917
Ac 0.228 0.761 0.761
Ac 0.260 0.422 0.083
Ac 0.772 0.239 0.239
Pr 0.000 0.836 0.164
Pr 0.500 0.000 0.000
Pr 0.000 0.164 0.836
Er 0.500 0.500 0.500